CsRb2Pd2 PBE optimized geometry; symmetry = P4/mbm, No. 127; VASP energy = -24.483 eV per cell; energy of formation = 187 meV/atom; density of states at the Fermi level = 8.15 states/eV per cell; energy above the lowest structure with this stoichiometry = 0 meV per atom
1.0
8.845 0.000 0.000
0.000 8.845 0.000
0.000 0.000 5.147
Cs Rb Pd
2 4 4
Cartesian
0.000 0.000 0.000
4.423 4.423 0.000
1.389 3.034 2.573
3.034 7.456 2.573
5.811 1.389 2.573
7.456 5.811 2.573
0.949 5.372 0.000
3.473 0.949 0.000
5.372 7.896 0.000
7.896 3.473 0.000

Rb2NiAgH6 PBE optimized geometry; symmetry = P-3m1, No. 164; VASP energy = -31.556 eV per cell; density of states at the Fermi level = 2.68 states/eV per cell
1.0
6.012 0.000 0.000
-3.006 5.207 0.000
0.000 0.000 5.088
Rb Ni Ag H
2 1 1 6
Cartesian
0.000 3.471 1.378
3.006 1.736 3.710
0.000 0.000 2.544
0.000 0.000 0.000
0.000 1.295 3.497
-1.884 4.559 3.497
1.122 0.648 1.591
1.884 4.559 3.497
4.891 0.648 1.591
3.006 3.912 1.591

CsHgS2O8 PBE optimized geometry; symmetry = P-3, No. 147; VASP energy = -63.738 eV per cell; density of states at the Fermi level = 8.88 states/eV per cell; uncorrected formation energy = -1.22 eV per atom
1.0
5.145 0.000 0.000
-2.572 4.456 0.000
0.000 0.000 9.246
Cs Hg S O
1 1 2 8
Cartesian
0.000 0.000 0.000
0.000 0.000 4.623
0.000 2.970 6.575
2.572 1.485 2.671
-0.663 1.719 6.086
-0.752 4.170 6.086
0.000 2.970 8.051
1.157 1.434 3.159
1.415 3.022 6.086
2.572 1.485 1.195
3.324 0.285 3.159
3.236 2.736 3.159

NpZnS2 PBE optimized geometry; symmetry = R-3m, No. 166; VASP energy = -76.002 eV per cell; density of states at the Fermi level = 33.27 states/eV per cell; uncorrected formation energy = -0.72 eV per atom
1.0
3.921 0.000 0.000
-1.961 3.396 0.000
0.000 0.000 23.351
Np Zn S
3 3 6
Cartesian
0.000 0.000 0.000
0.000 2.264 15.567
1.961 1.132 7.784
0.000 0.000 11.675
0.000 2.264 3.892
1.961 1.132 19.459
0.000 0.000 9.320
0.000 0.000 14.030
0.000 2.264 1.537
0.000 2.264 6.247
1.961 1.132 17.104
1.961 1.132 21.814

SrP2SeO PBE optimized geometry; symmetry = P4/mmm, No. 123; VASP energy = -21.462 eV per cell; density of states at the Fermi level = 3.55 states/eV per cell; energy above the lowest structure with this stoichiometry = 0 meV per atom; uncorrected formation energy = -0.10 eV per atom
1.0
4.986 0.000 0.000
0.000 4.986 0.000
0.000 0.000 4.087
Sr P Se O
1 2 1 1
Cartesian
0.000 0.000 0.000
0.000 2.493 2.043
2.493 0.000 2.043
2.493 2.493 2.043
2.493 2.493 0.000

Li16Ta2N8O PBE optimized geometry; symmetry = R-3, No. 148; VASP energy = -150.876 eV per cell; density of states at the Fermi level = 0.00 states/eV per cell; uncorrected formation energy = -0.93 eV per atom
1.0
3.000 1.732 8.519
-3.000 1.732 8.519
0.000 -3.464 8.519
Li Ta N O
16 2 8 1
Cartesian
-1.876 0.132 9.123
0.000 0.000 1.981
-1.975 -0.293 13.411
-0.734 -1.857 12.147
-1.052 -1.559 16.434
0.824 -1.691 9.123
0.000 0.000 10.664
-1.241 1.564 12.147
1.241 -1.564 13.411
0.000 0.000 14.894
-0.824 1.691 16.434
1.052 1.559 9.123
0.734 1.857 13.411
1.975 0.293 12.147
0.000 0.000 23.577
1.876 -0.132 16.434
0.000 0.000 6.373
0.000 0.000 19.185
-2.060 -0.120 11.299
-0.926 -1.845 14.259
0.000 0.000 8.339
1.134 -1.724 11.299
-1.134 1.724 14.259
0.000 0.000 17.219
0.926 1.845 11.299
2.060 0.120 14.259
0.000 0.000 0.000